DFT (PBEsol) results for a geometry-optimized OsPtC3 structure.

Computed properties:
The calculated total energy comes out at -0.247 Ha/atom. As for the formation energy: 2.913 eV/atom. The energy above the most stable polymorph in this dataset comes out at 763 meV/atom. As for the crystal system: cubic.

abc: 3.894 3.894 3.894
angles: 90.00 90.00 90.00
Space group Pm-3m (No. 221)
Unique sites:
Os1 0.000 0.000 0.000
Pt1 0.500 0.500 0.500
C1 0.000 0.500 0.500